Record 1
Here is a relaxed structure of TbSbMo from OQMD via LeMat-Bulk. Energies are from PBE.

Final energy: -18.96 eV per formula unit

Geometry as POSCAR:
```
TbSbMo
1.0
6.710 0.000 0.000
0.000 6.710 0.000
0.000 0.000 6.710
Tb Sb Mo
4 4 4
Direct
0.000 0.000 0.000
0.000 0.500 0.500
0.500 0.000 0.500
0.500 0.500 0.000
0.250 0.250 0.750
0.250 0.750 0.250
0.750 0.250 0.250
0.750 0.750 0.750
0.000 0.000 0.500
0.000 0.500 0.000
0.500 0.000 0.000
0.500 0.500 0.500
```

Record 2
Here is a relaxed structure of B2MoOs from OQMD via LeMat-Bulk. Energies are from PBE.

Final energy: -31.00 eV per formula unit

Geometry as POSCAR:
```
B2MoOs
1.0
5.716 0.000 0.000
0.000 5.716 0.000
0.000 0.000 5.716
B Mo Os
8 4 4
Direct
0.000 0.000 0.000
0.000 0.500 0.500
0.250 0.250 0.250
0.250 0.750 0.750
0.500 0.000 0.500
0.500 0.500 0.000
0.750 0.250 0.750
0.750 0.750 0.250
0.250 0.250 0.750
0.250 0.750 0.250
0.750 0.250 0.250
0.750 0.750 0.750
0.000 0.000 0.500
0.000 0.500 0.000
0.500 0.000 0.000
0.500 0.500 0.500
```

Record 3
Here is a relaxed structure of YHf2Cd from OQMD via LeMat-Bulk. Energies are from PBE.

Energy of formation: 0.185 eV per atom

Geometry as POSCAR:
```
YHf2Cd
1.0
7.197 0.000 0.000
0.000 7.197 0.000
0.000 0.000 7.197
Y Hf Cd
4 8 4
Direct
0.000 0.000 0.000
0.000 0.500 0.500
0.500 0.000 0.500
0.500 0.500 0.000
0.000 0.000 0.500
0.000 0.500 0.000
0.250 0.250 0.750
0.250 0.750 0.250
0.500 0.000 0.000
0.500 0.500 0.500
0.750 0.250 0.250
0.750 0.750 0.750
0.250 0.250 0.250
0.250 0.750 0.750
0.750 0.250 0.750
0.750 0.750 0.250
```

Record 4
Here is a relaxed structure of MgCdSO from OQMD via LeMat-Bulk. Energies are from PBE.

Final energy: -13.65 eV per formula unit

Geometry as POSCAR:
```
MgCdSO
1.0
4.568 0.000 0.000
0.000 4.568 0.000
0.000 0.000 7.343
Mg Cd S O
2 2 2 2
Direct
0.250 0.750 0.000
0.750 0.250 0.000
0.250 0.250 0.331
0.750 0.750 0.669
0.250 0.250 0.856
0.750 0.750 0.144
0.250 0.250 0.636
0.750 0.750 0.364
```

Record 5
Here is a relaxed structure of Cu2Ag3 from OQMD via LeMat-Bulk. Energies are from PBE.

Energy of formation: 0.071 eV per atom

Geometry as POSCAR:
```
Cu2Ag3
1.0
4.730 -1.440 0.000
4.730 1.440 0.000
-1.677 0.000 11.426
Cu Ag
4 6
Direct
0.000 0.000 0.000
0.079 0.079 0.729
0.404 0.404 0.817
0.768 0.768 0.654
0.175 0.175 0.444
0.307 0.307 0.109
0.463 0.463 0.550
0.594 0.594 0.212
0.702 0.702 0.905
0.885 0.885 0.329
```

Record 6
Here is a relaxed structure of Rb3TmBr6 from OQMD via LeMat-Bulk. Energies are from PBE.

Final energy: -35.76 eV per formula unit

Geometry as POSCAR:
```
Rb3TmBr6
1.0
8.056 0.000 0.000
0.000 8.548 0.000
-7.864 0.000 11.491
Rb Tm Br
6 2 12
Direct
0.000 0.000 0.000
0.000 0.500 0.500
0.216 0.075 0.745
0.216 0.425 0.245
0.784 0.575 0.755
0.784 0.925 0.255
0.500 0.000 0.500
0.500 0.500 0.000
0.169 0.176 0.446
0.169 0.324 0.946
0.265 0.730 0.429
0.265 0.770 0.929
0.400 0.048 0.277
0.400 0.452 0.777
0.600 0.548 0.223
0.600 0.952 0.723
0.735 0.230 0.071
0.735 0.270 0.571
0.831 0.676 0.054
0.831 0.824 0.554
```

Record 7
Here is a relaxed structure of K2AgBr3Cl from OQMD via LeMat-Bulk. Energies are from PBE.

Final energy: -19.95 eV per formula unit

Geometry as POSCAR:
```
K2AgBr3Cl
1.0
4.310 0.000 0.000
0.000 10.359 0.000
0.000 0.000 10.786
K Ag Br Cl
4 2 6 2
Direct
0.000 0.238 0.000
0.000 0.262 0.500
0.000 0.738 0.500
0.000 0.762 0.000
0.500 0.000 0.749
0.500 0.500 0.249
0.500 0.000 0.508
0.500 0.248 0.249
0.500 0.252 0.749
0.500 0.500 0.008
0.500 0.748 0.749
0.500 0.752 0.249
0.500 0.000 0.980
0.500 0.500 0.480
```

Record 8
Here is a relaxed structure of LaNdSi2BMo2 from OQMD via LeMat-Bulk. Energies are from PBE.

Final energy: -51.98 eV per formula unit

Geometry as POSCAR:
```
LaNdSi2BMo2
1.0
11.279 0.000 0.000
0.000 4.074 0.000
-4.262 0.000 6.000
La Nd Si B Mo
2 2 4 2 4
Direct
0.000 0.000 0.000
0.500 0.500 0.000
0.156 0.000 0.615
0.656 0.500 0.615
0.211 0.500 0.980
0.445 0.000 0.633
0.711 0.000 0.980
0.945 0.500 0.633
0.081 0.500 0.314
0.581 0.000 0.314
0.295 0.500 0.389
0.364 0.000 0.226
0.795 0.000 0.389
0.864 0.500 0.226
```

Record 9
Here is a relaxed structure of GdAlCd2 from OQMD via LeMat-Bulk. Energies are from PBE.

Final energy: -11.37 eV per formula unit

Geometry as POSCAR:
```
GdAlCd2
1.0
4.844 0.000 0.000
0.000 11.197 0.000
0.000 0.000 6.616
Gd Al Cd
4 4 8
Direct
0.250 0.164 0.000
0.250 0.664 0.500
0.750 0.336 0.500
0.750 0.836 0.000
0.250 0.424 0.247
0.250 0.924 0.747
0.750 0.076 0.747
0.750 0.576 0.247
0.250 0.159 0.511
0.250 0.419 0.767
0.250 0.659 0.011
0.250 0.919 0.267
0.750 0.081 0.267
0.750 0.341 0.011
0.750 0.581 0.767
0.750 0.841 0.511
```

Record 10
Here is a relaxed structure of UOsPd from OQMD via LeMat-Bulk. Energies are from PBE.

Energy of formation: 0.337 eV per atom

Geometry as POSCAR:
```
UOsPd
1.0
6.298 0.000 0.000
0.000 6.298 0.000
0.000 0.000 6.298
U Os Pd
4 4 4
Direct
0.000 0.000 0.000
0.000 0.500 0.500
0.500 0.000 0.500
0.500 0.500 0.000
0.250 0.250 0.750
0.250 0.750 0.250
0.750 0.250 0.250
0.750 0.750 0.750
0.000 0.000 0.500
0.000 0.500 0.000
0.500 0.000 0.000
0.500 0.500 0.500
```

Record 11
Here is a relaxed structure of HoIn from OQMD via LeMat-Bulk. Energies are from PBE.

Final energy: -5.91 eV per formula unit

Geometry as POSCAR:
```
HoIn
1.0
6.923 0.000 0.000
0.000 6.923 0.000
0.000 0.000 6.923
Ho In
4 4
Direct
0.000 0.000 0.000
0.000 0.500 0.500
0.500 0.000 0.500
0.500 0.500 0.000
0.250 0.250 0.750
0.250 0.750 0.250
0.750 0.250 0.250
0.750 0.750 0.750
```

Record 12
Here is a relaxed structure of ErZnInSe3 from OQMD via LeMat-Bulk. Energies are from PBE.

Final energy: -25.05 eV per formula unit

Geometry as POSCAR:
```
ErZnInSe3
1.0
11.591 0.000 0.000
0.000 4.218 0.000
0.000 0.000 12.468
Er Zn In Se
4 4 4 12
Direct
0.020 0.250 0.181
0.480 0.750 0.681
0.520 0.250 0.319
0.980 0.750 0.819
0.248 0.750 0.301
0.252 0.250 0.801
0.748 0.750 0.199
0.752 0.250 0.699
0.174 0.250 0.502
0.326 0.750 0.002
0.674 0.250 0.998
0.826 0.750 0.498
0.038 0.750 0.340
0.095 0.250 0.935
0.229 0.750 0.691
0.271 0.250 0.191
0.405 0.750 0.435
0.462 0.250 0.840
0.538 0.750 0.160
0.595 0.250 0.565
0.729 0.750 0.809
0.771 0.250 0.309
0.905 0.750 0.065
0.962 0.250 0.660
```

Which formula does entry 4 have?
MgCdSO